## i
! HfTa2W2 (PBE, optimized geometry); values from VASP
&SYSTEM
  ibrav = 0, nat = 5, ntyp = 3
/
ATOMIC_SPECIES
Hf 178.49 Hf.upf
Ta 180.95 Ta.upf
W 183.84 W.upf
CELL_PARAMETERS angstrom
-1.932 1.932 6.698
1.932 -1.932 6.698
1.932 1.932 -6.698
ATOMIC_POSITIONS angstrom
Hf 0.000 0.000 0.000
Ta 0.000 0.000 5.292
Ta 0.000 0.000 8.103
W 1.932 0.000 3.349
W 0.000 1.932 3.349
! DOS(E_F) in states/eV/f.u.: 8.270
! Space group: I4/mmm, No. 139

=====

## ii
! HfTa2W2 (PBE, optimized geometry); values from VASP
&SYSTEM
  ibrav = 0, nat = 10, ntyp = 3
/
ATOMIC_SPECIES
Hf 178.49 Hf.upf
Ta 180.95 Ta.upf
W 183.84 W.upf
CELL_PARAMETERS angstrom
8.160 0.000 0.000
0.000 8.160 0.000
0.000 0.000 2.861
ATOMIC_POSITIONS angstrom
Hf 0.000 0.000 0.000
Hf 4.080 4.080 0.000
Ta 1.167 2.913 0.000
Ta 2.913 6.994 0.000
Ta 5.247 1.167 0.000
Ta 6.994 5.247 0.000
W 1.292 5.372 1.430
W 2.788 1.292 1.430
W 5.372 6.868 1.430
W 6.868 2.788 1.430
! DOS(E_F) in states/eV/f.u.: 6.112
! Space group: P4/mbm, No. 127

=====

We find ii to be the most stable, with the next structure 275 meV/atom higher.

=====

## i
! YHfTa2 (PBE, optimized geometry); values from VASP
&SYSTEM
  ibrav = 0, nat = 8, ntyp = 3
/
ATOMIC_SPECIES
Y 88.91 Y.upf
Hf 178.49 Hf.upf
Ta 180.95 Ta.upf
CELL_PARAMETERS angstrom
-3.928 3.928 2.943
3.928 -3.928 2.943
3.928 3.928 -2.943
ATOMIC_POSITIONS angstrom
Y 0.000 0.000 0.000
Y 0.000 3.928 1.472
Hf 3.928 0.000 1.472
Hf 0.000 0.000 2.943
Ta 1.964 -1.867 2.207
Ta 2.060 1.964 0.736
Ta 1.964 5.795 -0.736
Ta 1.867 1.964 3.679
! DOS(E_F) in states/eV/f.u.: 5.535
! Space group: I-42d, No. 122

=====

## ii
! YHfTa2 (PBE, optimized geometry); values from VASP
&SYSTEM
  ibrav = 0, nat = 4, ntyp = 3
/
ATOMIC_SPECIES
Y 88.91 Y.upf
Hf 178.49 Hf.upf
Ta 180.95 Ta.upf
CELL_PARAMETERS angstrom
0.000 3.505 3.505
3.505 0.000 3.505
3.505 3.505 0.000
ATOMIC_POSITIONS angstrom
Y 0.000 0.000 0.000
Hf 3.505 3.505 3.505
Ta 1.752 1.752 1.752
Ta 5.257 5.257 5.257
! DOS(E_F) in states/eV/f.u.: 8.239
! Space group: Fm-3m, No. 225

=====

We find ii to be the most stable, with the next structure 446 meV/atom higher.

=====

## i
! YHf2Ta2 (PBE, optimized geometry); values from VASP
&SYSTEM
  ibrav = 0, nat = 10, ntyp = 3
/
ATOMIC_SPECIES
Y 88.91 Y.upf
Hf 178.49 Hf.upf
Ta 180.95 Ta.upf
CELL_PARAMETERS angstrom
8.255 0.000 0.000
0.000 8.255 0.000
0.000 0.000 3.346
ATOMIC_POSITIONS angstrom
Y 0.000 0.000 0.000
Y 4.127 4.127 0.000
Hf 1.451 2.676 1.673
Hf 2.676 6.804 1.673
Hf 5.578 1.451 1.673
Hf 6.804 5.578 1.673
Ta 0.964 5.091 0.000
Ta 3.164 0.964 0.000
Ta 5.091 7.291 0.000
Ta 7.291 3.164 0.000
! DOS(E_F) in states/eV/f.u.: 2.750
! Space group: P4/mbm, No. 127

=====

## ii
! YHf2Ta2 (PBE, optimized geometry); values from VASP
&SYSTEM
  ibrav = 0, nat = 5, ntyp = 3
/
ATOMIC_SPECIES
Y 88.91 Y.upf
Hf 178.49 Hf.upf
Ta 180.95 Ta.upf
CELL_PARAMETERS angstrom
-2.130 2.130 6.505
2.130 -2.130 6.505
2.130 2.130 -6.505
ATOMIC_POSITIONS angstrom
Y 0.000 0.000 0.000
Hf 2.130 0.000 3.253
Hf 0.000 2.130 3.253
Ta 0.000 0.000 5.243
Ta 0.000 0.000 7.767
! DOS(E_F) in states/eV/f.u.: 4.144
! Space group: I4/mmm, No. 139

=====

## iii
! YHf2Ta2 (PBE, optimized geometry); values from VASP
&SYSTEM
  ibrav = 0, nat = 10, ntyp = 3
/
ATOMIC_SPECIES
Y 88.91 Y.upf
Hf 178.49 Hf.upf
Ta 180.95 Ta.upf
CELL_PARAMETERS angstrom
8.327 0.000 0.000
0.000 8.327 0.000
0.000 0.000 3.267
ATOMIC_POSITIONS angstrom
Y 0.000 0.000 0.000
Y 4.164 4.164 0.000
Hf 1.203 2.961 0.000
Hf 2.961 7.124 0.000
Hf 5.367 1.203 0.000
Hf 7.124 5.367 0.000
Ta 1.175 5.339 1.634
Ta 2.989 1.175 1.634
Ta 5.339 7.152 1.634
Ta 7.152 2.989 1.634
! DOS(E_F) in states/eV/f.u.: 5.991
! Space group: P4/mbm, No. 127

=====

We find i to be the most stable, with the next structure 71 meV/atom higher.

=====

## i
! YHf3Ta (PBE, optimized geometry); values from VASP
&SYSTEM
  ibrav = 0, nat = 5, ntyp = 3
/
ATOMIC_SPECIES
Y 88.91 Y.upf
Hf 178.49 Hf.upf
Ta 180.95 Ta.upf
CELL_PARAMETERS angstrom
5.009 0.000 0.000
0.000 5.009 0.000
0.000 0.000 5.009
ATOMIC_POSITIONS angstrom
Y 0.000 0.000 0.000
Hf 0.000 0.000 2.504
Hf 0.000 2.504 0.000
Hf 2.504 0.000 0.000
Ta 2.504 2.504 2.504
! DOS(E_F) in states/eV/f.u.: 6.933
! Space group: Pm-3m, No. 221

=====

## ii
! YHf3Ta (PBE, optimized geometry); values from VASP
&SYSTEM
  ibrav = 0, nat = 5, ntyp = 3
/
ATOMIC_SPECIES
Y 88.91 Y.upf
Hf 178.49 Hf.upf
Ta 180.95 Ta.upf
CELL_PARAMETERS angstrom
5.156 0.000 0.000
0.000 5.156 0.000
0.000 0.000 5.156
ATOMIC_POSITIONS angstrom
Y 0.000 0.000 0.000
Hf 0.000 2.578 2.578
Hf 2.578 0.000 2.578
Hf 2.578 2.578 0.000
Ta 2.578 2.578 2.578
! DOS(E_F) in states/eV/f.u.: 8.158
! Space group: Pm-3m, No. 221

=====

We find ii to be the most stable, with the next structure 1106 meV/atom higher.

=====

## i
! HfTa3Zn (PBE, optimized geometry); values from VASP
&SYSTEM
  ibrav = 0, nat = 5, ntyp = 3
/
ATOMIC_SPECIES
Hf 178.49 Hf.upf
Ta 180.95 Ta.upf
Zn 65.41 Zn.upf
CELL_PARAMETERS angstrom
4.724 0.000 0.000
0.000 4.724 0.000
0.000 0.000 4.724
ATOMIC_POSITIONS angstrom
Hf 0.000 0.000 0.000
Ta 0.000 2.362 2.362
Ta 2.362 0.000 2.362
Ta 2.362 2.362 0.000
Zn 2.362 2.362 2.362
! DOS(E_F) in states/eV/f.u.: 6.423
! Space group: Pm-3m, No. 221

=====

## ii
! HfTa3Zn (PBE, optimized geometry); values from VASP
&SYSTEM
  ibrav = 0, nat = 5, ntyp = 3
/
ATOMIC_SPECIES
Hf 178.49 Hf.upf
Ta 180.95 Ta.upf
Zn 65.41 Zn.upf
CELL_PARAMETERS angstrom
4.908 0.000 0.000
0.000 4.908 0.000
0.000 0.000 4.908
ATOMIC_POSITIONS angstrom
Hf 0.000 0.000 0.000
Ta 0.000 0.000 2.454
Ta 0.000 2.454 0.000
Ta 2.454 0.000 0.000
Zn 2.454 2.454 2.454
! DOS(E_F) in states/eV/f.u.: 5.150
! Space group: Pm-3m, No. 221

=====

We find i to be the most stable, with the next structure 830 meV/atom higher.

=====

## i
! HfTa2Zn2 (PBE, optimized geometry); values from VASP
&SYSTEM
  ibrav = 0, nat = 10, ntyp = 3
/
ATOMIC_SPECIES
Hf 178.49 Hf.upf
Ta 180.95 Ta.upf
Zn 65.41 Zn.upf
CELL_PARAMETERS angstrom
7.303 0.000 0.000
0.000 7.303 0.000
0.000 0.000 3.271
ATOMIC_POSITIONS angstrom
Hf 0.000 0.000 0.000
Hf 3.651 3.651 0.000
Ta 1.306 2.345 1.636
Ta 2.345 5.996 1.636
Ta 4.957 1.306 1.636
Ta 5.996 4.957 1.636
Zn 0.872 4.524 0.000
Zn 2.779 0.872 0.000
Zn 4.524 6.430 0.000
Zn 6.430 2.779 0.000
! DOS(E_F) in states/eV/f.u.: 4.813
! Space group: P4/mbm, No. 127

=====

## ii
! HfTa2Zn2 (PBE, optimized geometry); values from VASP
&SYSTEM
  ibrav = 0, nat = 5, ntyp = 3
/
ATOMIC_SPECIES
Hf 178.49 Hf.upf
Ta 180.95 Ta.upf
Zn 65.41 Zn.upf
CELL_PARAMETERS angstrom
-1.946 1.946 6.310
1.946 -1.946 6.310
1.946 1.946 -6.310
ATOMIC_POSITIONS angstrom
Hf 0.000 0.000 0.000
Ta 0.000 0.000 5.046
Ta 0.000 0.000 7.574
Zn 1.946 0.000 3.155
Zn 0.000 1.946 3.155
! DOS(E_F) in states/eV/f.u.: 2.798
! Space group: I4/mmm, No. 139

=====

We find i to be the most stable, with the next structure 358 meV/atom higher.

=====

## i
! HfTaZn (PBE, optimized geometry); values from VASP
&SYSTEM
  ibrav = 0, nat = 3, ntyp = 3
/
ATOMIC_SPECIES
Hf 178.49 Hf.upf
Ta 180.95 Ta.upf
Zn 65.41 Zn.upf
CELL_PARAMETERS angstrom
4.836 0.000 0.000
-2.418 4.188 0.000
0.000 0.000 2.751
ATOMIC_POSITIONS angstrom
Hf 0.000 0.000 0.000
Ta 0.000 2.792 1.495
Zn 2.418 1.396 1.064
! DOS(E_F) in states/eV/f.u.: 4.085
! Space group: P3m1, No. 156

=====

## ii
! HfTaZn (PBE, optimized geometry); values from VASP
&SYSTEM
  ibrav = 0, nat = 6, ntyp = 3
/
ATOMIC_SPECIES
Hf 178.49 Hf.upf
Ta 180.95 Ta.upf
Zn 65.41 Zn.upf
CELL_PARAMETERS angstrom
12.579 0.000 0.000
0.000 1.987 2.214
0.000 -1.987 2.214
ATOMIC_POSITIONS angstrom
Hf 2.932 -0.994 2.214
Hf 9.647 0.994 2.214
Ta 5.144 0.994 1.992
Ta 7.434 -0.994 1.992
Zn 0.830 0.994 2.220
Zn 11.749 -0.994 2.220
! DOS(E_F) in states/eV/f.u.: 2.008
! Space group: Aem2, No. 39

=====

We find ii to be the most stable, with the next structure 200 meV/atom higher.

=====

## i
! HfTaZn3 (PBE, optimized geometry); values from VASP
&SYSTEM
  ibrav = 0, nat = 5, ntyp = 3
/
ATOMIC_SPECIES
Hf 178.49 Hf.upf
Ta 180.95 Ta.upf
Zn 65.41 Zn.upf
CELL_PARAMETERS angstrom
4.795 0.000 0.000
0.000 4.795 0.000
0.000 0.000 4.795
ATOMIC_POSITIONS angstrom
Hf 0.000 0.000 0.000
Ta 2.398 2.398 2.398
Zn 0.000 2.398 2.398
Zn 2.398 0.000 2.398
Zn 2.398 2.398 0.000
! DOS(E_F) in states/eV/f.u.: 7.820
! Space group: Pm-3m, No. 221

=====

## ii
! HfTaZn3 (PBE, optimized geometry); values from VASP
&SYSTEM
  ibrav = 0, nat = 5, ntyp = 3
/
ATOMIC_SPECIES
Hf 178.49 Hf.upf
Ta 180.95 Ta.upf
Zn 65.41 Zn.upf
CELL_PARAMETERS angstrom
4.844 0.000 0.000
0.000 4.844 0.000
0.000 0.000 4.844
ATOMIC_POSITIONS angstrom
Hf 0.000 0.000 0.000
Ta 2.422 2.422 2.422
Zn 0.000 0.000 2.422
Zn 0.000 2.422 0.000
Zn 2.422 0.000 0.000
! DOS(E_F) in states/eV/f.u.: 3.671
! Space group: Pm-3m, No. 221

=====

We find i to be the most stable, with the next structure 497 meV/atom higher.